The following is a DFT calculation (GGA-PBE) of a relaxed structure of Ac2Ni9Pt. Values from VASP.

Cell and atoms, written as Quantum ESPRESSO input:
```
&SYSTEM
  ibrav = 0, nat = 12, ntyp = 3
/
ATOMIC_SPECIES
Ac 227.00 Ac.upf
Ni 58.69 Ni.upf
Pt 195.08 Pt.upf
CELL_PARAMETERS angstrom
2.5172 1.4533 8.3013
-2.5172 1.4533 8.3013
0.0000 -2.9066 8.3013
ATOMIC_POSITIONS crystal
Ac 0.1299 0.1299 0.1299
Ac 0.8701 0.8701 0.8701
Ni 0.0791 0.5759 0.5759
Ni 0.3325 0.3325 0.3325
Ni 0.4241 0.4241 0.9209
Ni 0.4241 0.9209 0.4241
Ni 0.5000 0.5000 0.5000
Ni 0.5759 0.0791 0.5759
Ni 0.5759 0.5759 0.0791
Ni 0.6675 0.6675 0.6675
Ni 0.9209 0.4241 0.4241
Pt 0.0000 0.0000 0.0000
```

Output
**Calculated total energy**: -5.54 eV/atom
**Formation enthalpy at 0 K**: -0.020 eV/atom